The following is a DFT calculation (PBE-GGA) of SrLa2CdIr after structural relaxation.

## Properties
Calculated total energy   -23.0 eV for the cell shown
Energy of formation   -1.7 eV per formula unit
Magnetization   0.0 μB per formula unit
Energy above the most stable polymorph in this dataset   0 meV per atom

Cell and atoms, written as POSCAR:
```
SrLa2CdIr
1.0
5.540 0.000 0.000
0.000 5.540 0.000
0.000 0.000 6.017
Sr La Ir Cd
1 2 1 1
direct
0.000 0.000 0.500 Sr
0.500 0.000 0.000 La
0.000 0.500 0.000 La
0.000 0.000 0.000 Ir
0.500 0.500 0.500 Cd
```